Record 1
# ZrNbSi2As2 (PBE-GGA, optimized geometry)
# Final energy (eV per atom): -7.14
data_ZrNbSi2As2
_symmetry_space_group_name_H-M 'P 1'
_symmetry_Int_Tables_number 1
_symmetry_space_group_name_Hall 'P 1'
_cell_length_a 3.5607
_cell_length_b 3.5607
_cell_length_c 8.1802
_cell_angle_alpha 90.00
_cell_angle_beta 90.00
_cell_angle_gamma 90.00
loop_
_atom_site_label
_atom_site_type_symbol
_atom_site_fract_x
_atom_site_fract_y
_atom_site_fract_z
Zr1 Zr 0.0000 0.0000 0.0000
Nb1 Nb 0.5000 0.5000 0.4841
Si1 Si 0.0000 0.5000 0.7327
Si2 Si 0.5000 0.0000 0.7327
As1 As 0.0000 0.0000 0.3560
As2 As 0.5000 0.5000 0.1368

Record 2
# HgP (PBE-GGA, optimized geometry)
# Final energy (eV per atom): -2.38
# Distance to the lowest polymorph of the same formula (meV/atom): 13
data_HgP
_symmetry_space_group_name_H-M 'P 1'
_symmetry_Int_Tables_number 1
_symmetry_space_group_name_Hall 'P 1'
_cell_length_a 4.0624
_cell_length_b 4.0624
_cell_length_c 7.1382
_cell_angle_alpha 90.00
_cell_angle_beta 90.00
_cell_angle_gamma 120.00
loop_
_atom_site_label
_atom_site_type_symbol
_atom_site_fract_x
_atom_site_fract_y
_atom_site_fract_z
Hg1 Hg 0.3333 0.6667 0.0000
Hg2 Hg 0.6667 0.3333 0.5000
P1 P 0.3333 0.6667 0.3527
P2 P 0.6667 0.3333 0.8527

Record 3
# CsLuNiS3 (PBE-GGA, optimized geometry)
# Final energy (eV per atom): -5.18
# Distance to the lowest polymorph of the same formula (meV/atom): 15
data_CsLuNiS3
_symmetry_space_group_name_H-M 'P 1'
_symmetry_Int_Tables_number 1
_symmetry_space_group_name_Hall 'P 1'
_cell_length_a 7.9612
_cell_length_b 7.9612
_cell_length_c 10.2648
_cell_angle_alpha 90.00
_cell_angle_beta 90.00
_cell_angle_gamma 151.59
loop_
_atom_site_label
_atom_site_type_symbol
_atom_site_fract_x
_atom_site_fract_y
_atom_site_fract_z
Cs1 Cs 0.2419 0.7581 0.7500
Cs2 Cs 0.7581 0.2419 0.2500
Lu1 Lu 0.5000 0.5000 0.0000
Lu2 Lu 0.5000 0.5000 0.5000
Ni1 Ni 0.0325 0.9675 0.2500
Ni2 Ni 0.9675 0.0325 0.7500
S1 S 0.1108 0.8892 0.0637
S2 S 0.1108 0.8892 0.4363
S3 S 0.4537 0.5463 0.2500
S4 S 0.5463 0.4537 0.7500
S5 S 0.8892 0.1108 0.5637
S6 S 0.8892 0.1108 0.9363

Record 4
# ZnB2S4O16 (PBE-GGA, optimized geometry)
# Final energy (eV per atom): -6.26
data_ZnB2S4O16
_symmetry_space_group_name_H-M 'P 1'
_symmetry_Int_Tables_number 1
_symmetry_space_group_name_Hall 'P 1'
_cell_length_a 7.7034
_cell_length_b 8.0717
_cell_length_c 9.4142
_cell_angle_alpha 90.00
_cell_angle_beta 117.47
_cell_angle_gamma 90.00
loop_
_atom_site_label
_atom_site_type_symbol
_atom_site_fract_x
_atom_site_fract_y
_atom_site_fract_z
Zn1 Zn 0.0000 0.0000 0.0000
Zn2 Zn 0.0000 0.5000 0.5000
B1 B 0.2812 0.0546 0.6280
B2 B 0.2812 0.4454 0.1280
B3 B 0.7188 0.5546 0.8720
B4 B 0.7188 0.9454 0.3720
S1 S 0.0016 0.6286 0.1685
S2 S 0.0016 0.8714 0.6685
S3 S 0.4524 0.1498 0.1675
S4 S 0.4524 0.3502 0.6675
S5 S 0.5476 0.6498 0.3325
S6 S 0.5476 0.8502 0.8325
S7 S 0.9984 0.1286 0.3315
S8 S 0.9984 0.3714 0.8315
O1 O 0.0010 0.1414 0.1805
O2 O 0.0010 0.3586 0.6805
O3 O 0.0701 0.7259 0.6210
O4 O 0.0701 0.7741 0.1210
O5 O 0.1214 0.0230 0.6719
O6 O 0.1214 0.4770 0.1719
O7 O 0.2073 0.0818 0.4535
O8 O 0.2073 0.4182 0.9535
O9 O 0.2946 0.0325 0.0809
O10 O 0.2946 0.4675 0.5809
O11 O 0.3698 0.2032 0.7216
O12 O 0.3698 0.2968 0.2216
O13 O 0.4176 0.5809 0.1626
O14 O 0.4176 0.9191 0.6626
O15 O 0.4363 0.6993 0.4111
O16 O 0.4363 0.8007 0.9111
O17 O 0.5637 0.1993 0.0889
O18 O 0.5637 0.3007 0.5889
O19 O 0.5824 0.0809 0.3374
O20 O 0.5824 0.4191 0.8374
O21 O 0.6302 0.7032 0.7784
O22 O 0.6302 0.7968 0.2784
O23 O 0.7054 0.5325 0.4191
O24 O 0.7054 0.9675 0.9191
O25 O 0.7927 0.5818 0.0465
O26 O 0.7927 0.9182 0.5465
O27 O 0.8786 0.5230 0.8281
O28 O 0.8786 0.9770 0.3281
O29 O 0.9299 0.2259 0.8790
O30 O 0.9299 0.2741 0.3790
O31 O 0.9990 0.6414 0.3195
O32 O 0.9990 0.8586 0.8195

Record 5
# LuZrIn (PBE-GGA, optimized geometry)
# Final energy (eV per atom): -5.11
# Distance to the lowest polymorph of the same formula (meV/atom): 0
data_LuZrIn
_symmetry_space_group_name_H-M 'P 1'
_symmetry_Int_Tables_number 1
_symmetry_space_group_name_Hall 'P 1'
_cell_length_a 6.9687
_cell_length_b 6.9687
_cell_length_c 6.9687
_cell_angle_alpha 90.00
_cell_angle_beta 90.00
_cell_angle_gamma 90.00
loop_
_atom_site_label
_atom_site_type_symbol
_atom_site_fract_x
_atom_site_fract_y
_atom_site_fract_z
Lu1 Lu 0.0000 0.0000 0.0000
Lu2 Lu 0.0000 0.5000 0.5000
Lu3 Lu 0.5000 0.0000 0.5000
Lu4 Lu 0.5000 0.5000 0.0000
Zr1 Zr 0.0000 0.0000 0.5000
Zr2 Zr 0.0000 0.5000 0.0000
Zr3 Zr 0.5000 0.0000 0.0000
Zr4 Zr 0.5000 0.5000 0.5000
In1 In 0.2500 0.2500 0.2500
In2 In 0.2500 0.7500 0.7500
In3 In 0.7500 0.2500 0.7500
In4 In 0.7500 0.7500 0.2500

Record 6
# Zn4S3O (PBE-GGA, optimized geometry)
# Final energy (eV per atom): -3.70
data_Zn4S3O
_symmetry_space_group_name_H-M 'P 1'
_symmetry_Int_Tables_number 1
_symmetry_space_group_name_Hall 'P 1'
_cell_length_a 5.2221
_cell_length_b 5.2221
_cell_length_c 5.2221
_cell_angle_alpha 90.00
_cell_angle_beta 90.00
_cell_angle_gamma 90.00
loop_
_atom_site_label
_atom_site_type_symbol
_atom_site_fract_x
_atom_site_fract_y
_atom_site_fract_z
Zn1 Zn 0.2283 0.2283 0.7717
Zn2 Zn 0.2283 0.7717 0.2283
Zn3 Zn 0.7717 0.2283 0.2283
Zn4 Zn 0.7717 0.7717 0.7717
S1 S 0.0000 0.5000 0.5000
S2 S 0.5000 0.0000 0.5000
S3 S 0.5000 0.5000 0.0000
O1 O 0.0000 0.0000 0.0000

Record 7
# CsPrSeO (PBE-GGA, optimized geometry)
# Final energy (eV per atom): -5.57
# Distance to the lowest polymorph of the same formula (meV/atom): 91
data_CsPrSeO
_symmetry_space_group_name_H-M 'P 1'
_symmetry_Int_Tables_number 1
_symmetry_space_group_name_Hall 'P 1'
_cell_length_a 4.8155
_cell_length_b 8.8460
_cell_length_c 7.1166
_cell_angle_alpha 90.00
_cell_angle_beta 90.00
_cell_angle_gamma 90.00
loop_
_atom_site_label
_atom_site_type_symbol
_atom_site_fract_x
_atom_site_fract_y
_atom_site_fract_z
Cs1 Cs 0.0000 0.1969 0.0000
Cs2 Cs 0.0000 0.8031 0.5000
Pr1 Pr 0.5000 0.3805 0.4308
Pr2 Pr 0.5000 0.6195 0.9308
Se1 Se 0.0000 0.2089 0.5080
Se2 Se 0.0000 0.7911 0.0080
O1 O 0.5000 0.4211 0.1211
O2 O 0.5000 0.5789 0.6211

Record 8
# BaCdPt (PBE-GGA, optimized geometry)
# Final energy (eV per atom): -3.44
data_BaCdPt
_symmetry_space_group_name_H-M 'P 1'
_symmetry_Int_Tables_number 1
_symmetry_space_group_name_Hall 'P 1'
_cell_length_a 7.2266
_cell_length_b 7.2266
_cell_length_c 7.2266
_cell_angle_alpha 90.00
_cell_angle_beta 90.00
_cell_angle_gamma 90.00
loop_
_atom_site_label
_atom_site_type_symbol
_atom_site_fract_x
_atom_site_fract_y
_atom_site_fract_z
Ba1 Ba 0.0000 0.0000 0.0000
Ba2 Ba 0.0000 0.5000 0.5000
Ba3 Ba 0.5000 0.0000 0.5000
Ba4 Ba 0.5000 0.5000 0.0000
Cd1 Cd 0.0000 0.0000 0.5000
Cd2 Cd 0.0000 0.5000 0.0000
Cd3 Cd 0.5000 0.0000 0.0000
Cd4 Cd 0.5000 0.5000 0.5000
Pt1 Pt 0.2500 0.2500 0.2500
Pt2 Pt 0.2500 0.7500 0.7500
Pt3 Pt 0.7500 0.2500 0.7500
Pt4 Pt 0.7500 0.7500 0.2500

Record 9
# LiLaNiSe3 (PBE-GGA, optimized geometry)
# Final energy (eV per atom): -4.90
data_LiLaNiSe3
_symmetry_space_group_name_H-M 'P 1'
_symmetry_Int_Tables_number 1
_symmetry_space_group_name_Hall 'P 1'
_cell_length_a 6.3929
_cell_length_b 6.3929
_cell_length_c 11.3841
_cell_angle_alpha 90.00
_cell_angle_beta 90.00
_cell_angle_gamma 143.29
loop_
_atom_site_label
_atom_site_type_symbol
_atom_site_fract_x
_atom_site_fract_y
_atom_site_fract_z
Li1 Li 0.2261 0.7739 0.7500
Li2 Li 0.7739 0.2261 0.2500
La1 La 0.0000 0.0000 0.0000
La2 La 0.0000 0.0000 0.5000
Ni1 Ni 0.4805 0.5195 0.2500
Ni2 Ni 0.5195 0.4805 0.7500
Se1 Se 0.0826 0.9174 0.2500
Se2 Se 0.3441 0.6559 0.0984
Se3 Se 0.3441 0.6559 0.4016
Se4 Se 0.6559 0.3441 0.5984
Se5 Se 0.6559 0.3441 0.9016
Se6 Se 0.9174 0.0826 0.7500

Record 10
# Ho2PuCo2 (PBE-GGA, optimized geometry)
# Final energy (eV per atom): -7.73
# Formation energy (eV/atom): -0.23
data_Ho2PuCo2
_symmetry_space_group_name_H-M 'P 1'
_symmetry_Int_Tables_number 1
_symmetry_space_group_name_Hall 'P 1'
_cell_length_a 5.7821
_cell_length_b 5.7821
_cell_length_c 7.2036
_cell_angle_alpha 99.40
_cell_angle_beta 99.40
_cell_angle_gamma 60.17
loop_
_atom_site_label
_atom_site_type_symbol
_atom_site_fract_x
_atom_site_fract_y
_atom_site_fract_z
Ho1 Ho 0.0327 0.2699 0.1487
Ho2 Ho 0.2699 0.0327 0.6487
Ho3 Ho 0.7301 0.9673 0.3513
Ho4 Ho 0.9673 0.7301 0.8513
Pu1 Pu 0.4007 0.5993 0.2500
Pu2 Pu 0.5993 0.4007 0.7500
Co1 Co 0.2040 0.4965 0.4903
Co2 Co 0.4965 0.2040 0.9903
Co3 Co 0.5035 0.7960 0.0097
Co4 Co 0.7960 0.5035 0.5097

Record 11
# Y4TmAg5 (PBE-GGA, optimized geometry)
# Final energy (eV per atom): -4.79
# Formation energy (eV/atom): -0.34
data_Y4TmAg5
_symmetry_space_group_name_H-M 'P 1'
_symmetry_Int_Tables_number 1
_symmetry_space_group_name_Hall 'P 1'
_cell_length_a 3.6123
_cell_length_b 3.6123
_cell_length_c 18.1675
_cell_angle_alpha 90.00
_cell_angle_beta 90.00
_cell_angle_gamma 90.00
loop_
_atom_site_label
_atom_site_type_symbol
_atom_site_fract_x
_atom_site_fract_y
_atom_site_fract_z
Y1 Y 0.0000 0.0000 0.1006
Y2 Y 0.0000 0.0000 0.3021
Y3 Y 0.0000 0.0000 0.6979
Y4 Y 0.0000 0.0000 0.8994
Tm1 Tm 0.0000 0.0000 0.5000
Ag1 Ag 0.5000 0.5000 0.0000
Ag2 Ag 0.5000 0.5000 0.2011
Ag3 Ag 0.5000 0.5000 0.4042
Ag4 Ag 0.5000 0.5000 0.5958
Ag5 Ag 0.5000 0.5000 0.7989

Record 12
# Ba3TmB3O9 (PBE-GGA, optimized geometry)
# Final energy (eV per atom): -7.60
data_Ba3TmB3O9
_symmetry_space_group_name_H-M 'P 1'
_symmetry_Int_Tables_number 1
_symmetry_space_group_name_Hall 'P 1'
_cell_length_a 9.4130
_cell_length_b 9.4130
_cell_length_c 17.2972
_cell_angle_alpha 90.00
_cell_angle_beta 90.00
_cell_angle_gamma 120.00
loop_
_atom_site_label
_atom_site_type_symbol
_atom_site_fract_x
_atom_site_fract_y
_atom_site_fract_z
Ba1 Ba 0.0000 0.0000 0.0000
Ba2 Ba 0.0000 0.0000 0.5000
Ba3 Ba 0.0000 0.3215 0.6500
Ba4 Ba 0.0000 0.3445 0.4061
Ba5 Ba 0.0000 0.6555 0.9061
Ba6 Ba 0.0000 0.6785 0.1500
Ba7 Ba 0.3215 0.0000 0.6500
Ba8 Ba 0.3215 0.3215 0.1500
Ba9 Ba 0.3333 0.6667 0.0507
Ba10 Ba 0.3333 0.6667 0.5507
Ba11 Ba 0.3445 0.0000 0.4061
Ba12 Ba 0.3445 0.3445 0.9061
Ba13 Ba 0.6555 0.0000 0.9061
Ba14 Ba 0.6555 0.6555 0.4061
Ba15 Ba 0.6667 0.3333 0.0507
Ba16 Ba 0.6667 0.3333 0.5507
Ba17 Ba 0.6785 0.0000 0.1500
Ba18 Ba 0.6785 0.6785 0.6500
Tm1 Tm 0.0000 0.0000 0.2803
Tm2 Tm 0.0000 0.0000 0.7803
Tm3 Tm 0.3333 0.6667 0.2761
Tm4 Tm 0.3333 0.6667 0.7761
Tm5 Tm 0.6667 0.3333 0.2761
Tm6 Tm 0.6667 0.3333 0.7761
B1 B 0.0000 0.3271 0.8535
B2 B 0.0000 0.3330 0.0273
B3 B 0.0000 0.3396 0.1992
B4 B 0.0000 0.6604 0.6992
B5 B 0.0000 0.6670 0.5273
B6 B 0.0000 0.6729 0.3535
B7 B 0.3271 0.0000 0.8535
B8 B 0.3271 0.3271 0.3535
B9 B 0.3330 0.0000 0.0273
B10 B 0.3330 0.3330 0.5273
B11 B 0.3396 0.0000 0.1992
B12 B 0.3396 0.3396 0.6992
B13 B 0.6604 0.0000 0.6992
B14 B 0.6604 0.6604 0.1992
B15 B 0.6670 0.0000 0.5273
B16 B 0.6670 0.6670 0.0273
B17 B 0.6729 0.0000 0.3535
B18 B 0.6729 0.6729 0.8535
O1 O 0.0000 0.1807 0.8615
O2 O 0.0000 0.1929 0.2083
O3 O 0.0000 0.4808 0.0267
O4 O 0.0000 0.5192 0.5267
O5 O 0.0000 0.8071 0.7083
O6 O 0.0000 0.8193 0.3615
O7 O 0.1470 0.4740 0.8491
O8 O 0.1470 0.6730 0.3491
O9 O 0.1478 0.3330 0.0280
O10 O 0.1475 0.4863 0.1949
O11 O 0.1475 0.6612 0.6949
O12 O 0.1478 0.8147 0.5280
O13 O 0.1807 0.0000 0.8615
O14 O 0.1807 0.1807 0.3615
O15 O 0.1853 0.3330 0.5280
O16 O 0.1853 0.8522 0.0280
O17 O 0.1929 0.0000 0.2083
O18 O 0.1929 0.1929 0.7083
O19 O 0.3270 0.4740 0.3491
O20 O 0.3270 0.8530 0.8491
O21 O 0.3330 0.1478 0.0280
O22 O 0.3330 0.1853 0.5280
O23 O 0.3388 0.4863 0.6949
O24 O 0.3388 0.8525 0.1949
O25 O 0.4740 0.1470 0.8491
O26 O 0.4740 0.3270 0.3491
O27 O 0.4808 0.0000 0.0267
O28 O 0.4808 0.4808 0.5267
O29 O 0.4863 0.1475 0.1949
O30 O 0.4863 0.3388 0.6949
O31 O 0.5137 0.6612 0.1949
O32 O 0.5137 0.8525 0.6949
O33 O 0.5192 0.0000 0.5267
O34 O 0.5192 0.5192 0.0267
O35 O 0.5260 0.6730 0.8491
O36 O 0.5260 0.8530 0.3491
O37 O 0.6612 0.1475 0.6949
O38 O 0.6612 0.5137 0.1949
O39 O 0.6670 0.8147 0.0280
O40 O 0.6670 0.8522 0.5280
O41 O 0.6730 0.1470 0.3491
O42 O 0.6730 0.5260 0.8491
O43 O 0.8071 0.0000 0.7083
O44 O 0.8071 0.8071 0.2083
O45 O 0.8147 0.1478 0.5280
O46 O 0.8147 0.6670 0.0280
O47 O 0.8193 0.0000 0.3615
O48 O 0.8193 0.8193 0.8615
O49 O 0.8522 0.1853 0.0280
O50 O 0.8525 0.3388 0.1949
O51 O 0.8525 0.5137 0.6949
O52 O 0.8522 0.6670 0.5280
O53 O 0.8530 0.3270 0.8491
O54 O 0.8530 0.5260 0.3491